Entry 1:
DFT (PBE-GGA) results for an optimized crystal structure of CaTe2Os.

Summary:
* N(E_F): 0.226 states/eV/atom
* volume: 107 Å³ per cell
* formation energy (no corrections): -0.19 eV/atom
* polymorph energy (0 for the lowest one): 0.190 eV per atom
* magnetization: 0.0 Bohr magnetons per cell

a = 4.0965 Å, b = 5.2499 Å, c = 5.2509 Å
α = 71.48°, β = 90.00°, γ = 90.00°
Atoms (fractional coordinates):
Ca: 0.5000 0.2500 0.2500
Te: 0.0000 0.5581 0.5578
Te: 0.0000 0.9419 0.9422
Os: 0.5000 0.7500 0.7500

=====

Entry 2:
DFT (PBE-GGA) results for an optimized crystal structure of RbHfMg6O7.

Summary:
* N(E_F): 0.110 states/eV/atom
* volume: 236 Å³ per cell
* formation energy (no corrections): -2.14 eV/atom
* polymorph energy (0 for the lowest one): 0.138 eV per atom
* magnetization: 0.0 Bohr magnetons per cell

a = 4.2300 Å, b = 4.2300 Å, c = 13.1940 Å
α = 90.00°, β = 90.00°, γ = 90.00°
Atoms (fractional coordinates):
O: 0.0000 0.0000 0.3694
O: 0.5000 0.0000 0.8879
O: 0.0000 0.5000 0.5293
O: 0.5000 0.5000 0.7093
O: 0.0000 0.5000 0.8879
O: 0.0000 0.0000 0.6864
O: 0.5000 0.0000 0.5293
Rb: 0.0000 0.0000 0.0167
Mg: 0.0000 0.5000 0.7432
Mg: 0.5000 0.0000 0.7432
Mg: 0.0000 0.5000 0.3327
Mg: 0.5000 0.5000 0.8916
Mg: 0.5000 0.0000 0.3327
Mg: 0.5000 0.5000 0.5575
Hf: 0.0000 0.0000 0.5331

=====

Entry 3:
DFT (PBE-GGA) results for an optimized crystal structure of Tb3Cd4Au4.

Summary:
* N(E_F): 0.687 states/eV/atom
* volume: 257 Å³ per cell
* magnetization: 0.0 Bohr magnetons per cell
* energy of formation from the pure elements: -0.548 eV/atom

a = 3.8555 Å, b = 8.0502 Å, c = 9.4020 Å
α = 115.35°, β = 101.83°, γ = 90.00°
Atoms (fractional coordinates):
Au: 0.5000 0.8041 0.0000
Au: 0.5000 0.1959 0.0000
Au: 0.2522 0.7522 0.5044
Au: 0.7478 0.2478 0.4956
Tb: 0.0000 0.5000 0.0000
Tb: 0.8902 0.8902 0.7804
Tb: 0.1098 0.1098 0.2196
Cd: 0.3365 0.1512 0.6730
Cd: 0.6635 0.4781 0.3270
Cd: 0.3365 0.5219 0.6730
Cd: 0.6635 0.8488 0.3270

=====

Entry 4:
DFT (PBE-GGA) results for an optimized crystal structure of RbCeBr4.

Summary:
* N(E_F): 0.960 states/eV/atom
* volume: 460 Å³ per cell
* formation energy (no corrections): -1.77 eV/atom
* polymorph energy (0 for the lowest one): 0.004 eV per atom
* magnetization: 2.0 Bohr magnetons per cell

a = 7.3315 Å, b = 8.8717 Å, c = 8.8585 Å
α = 113.83°, β = 107.26°, γ = 103.52°
Last column: magnetic moment on the atom in μB.
Atoms (fractional coordinates):
Rb: 0.3883 0.6383 0.2766  0.00
Rb: 0.6117 0.3617 0.7234  0.00
Br: 0.6234 0.0557 0.3144  -0.01
Br: 0.9888 0.7942 0.1210  -0.01
Br: 0.0112 0.2058 0.8790  -0.01
Br: 0.6321 0.3268 0.1210  -0.01
Br: 0.3766 0.9443 0.6856  -0.01
Br: 0.3679 0.6732 0.8790  -0.01
Br: 0.1910 0.2587 0.3144  -0.01
Br: 0.8090 0.7413 0.6856  -0.01
Ce: 0.2468 0.9968 0.9935  0.96
Ce: 0.7532 0.0032 0.0065  0.96

=====

Entry 5:
DFT (PBE-GGA) results for an optimized crystal structure of SiTc2Ni.

Summary:
* N(E_F): 0.572 states/eV/atom
* volume: 51 Å³ per cell
* formation energy (no corrections): -0.31 eV/atom
* magnetization: 0.0 Bohr magnetons per cell

a = 4.8682 Å, b = 4.8682 Å, c = 4.1994 Å
α = 64.46°, β = 64.46°, γ = 35.43°
Atoms (fractional coordinates):
Ni: 0.5258 0.5258 0.4740
Si: 0.2381 0.2381 0.2623
Tc: 0.9832 0.9832 0.0165
Tc: 0.7529 0.7529 0.7473

=====

Entry 6:
DFT (PBE-GGA) results for an optimized crystal structure of MnCuCl2.

Summary:
* N(E_F): 0.246 states/eV/atom
* volume: 68 Å³ per cell
* formation energy (no corrections): 0.04 eV/atom
* polymorph energy (0 for the lowest one): 0.404 eV per atom
* magnetization: 4.1 Bohr magnetons per cell

a = 4.5810 Å, b = 4.5810 Å, c = 4.5810 Å
α = 60.00°, β = 60.00°, γ = 60.00°
Last column: magnetic moment on the atom in μB.
Atoms (fractional coordinates):
Mn: 0.0000 0.0000 0.0000  4.05
Cl: 0.2500 0.2500 0.2500  0.03
Cl: 0.7500 0.7500 0.7500  0.03
Cu: 0.5000 0.5000 0.5000  -0.04

=====

Entry 7:
DFT (PBE-GGA) results for an optimized crystal structure of ZnNi2As.

Summary:
* N(E_F): 0.660 states/eV/atom
* volume: 51 Å³ per cell
* polymorph energy (0 for the lowest one): 0.083 eV per atom
* magnetization: 0.0 Bohr magnetons per cell
* energy of formation from the pure elements: -0.130 eV/atom

a = 4.0637 Å, b = 4.0637 Å, c = 3.0900 Å
α = 90.03°, β = 90.03°, γ = 89.99°
Atoms (fractional coordinates):
Ni: 0.0000 0.0000 0.0000
Ni: 0.5000 0.5000 0.0000
Zn: 0.5000 0.0000 0.5000
As: 0.0000 0.5000 0.5000

=====

Entry 8:
DFT (PBE-GGA) results for an optimized crystal structure of ZnFe4.

Summary:
* N(E_F): 1.203 states/eV/atom
* volume: 60 Å³ per cell
* polymorph energy (0 for the lowest one): 0.000 eV per atom
* magnetization: 9.6 Bohr magnetons per cell
* energy of formation from the pure elements: 0.083 eV/atom

a = 3.6131 Å, b = 4.4681 Å, c = 4.4681 Å
α = 99.41°, β = 113.85°, γ = 66.15°
Last column: magnetic moment on the atom in μB.
Atoms (fractional coordinates):
Zn: 0.0000 0.0000 0.0000  -0.08
Fe: 0.5988 0.6000 0.7975  2.43
Fe: 0.4012 0.4000 0.2025  2.43
Fe: 0.1987 0.2025 0.6000  2.43
Fe: 0.8013 0.7975 0.4000  2.43

=====

Entry 9:
DFT (PBE-GGA) results for an optimized crystal structure of HoPa2Mo.

Summary:
* N(E_F): 1.549 states/eV/atom
* volume: 105 Å³ per cell
* polymorph energy (0 for the lowest one): 0.223 eV per atom
* magnetization: 0.0 Bohr magnetons per cell
* energy of formation from the pure elements: 0.430 eV/atom

a = 3.6960 Å, b = 3.6960 Å, c = 9.1506 Å
α = 78.35°, β = 78.35°, γ = 60.00°
Atoms (fractional coordinates):
Ho: 0.5000 0.5000 0.5000
Pa: 0.2685 0.2685 0.1945
Pa: 0.7315 0.7315 0.8055
Mo: 0.0000 0.0000 0.0000

=====

Entry 10:
DFT (PBE-GGA) results for an optimized crystal structure of AcSmDy.

Summary:
* N(E_F): 1.447 states/eV/atom
* volume: 109 Å³ per cell
* polymorph energy (0 for the lowest one): 0.000 eV per atom
* magnetization: 0.0 Bohr magnetons per cell
* energy of formation from the pure elements: 0.051 eV/atom

a = 3.7554 Å, b = 3.7554 Å, c = 8.2057 Å
α = 103.23°, β = 103.23°, γ = 90.00°
Atoms (fractional coordinates):
Dy: 0.6613 0.6613 0.3226
Sm: 0.0064 0.0064 0.0129
Ac: 0.3323 0.3323 0.6645

=====

Entry 11:
DFT (PBE-GGA) results for an optimized crystal structure of Si2PbF.

Summary:
* N(E_F): 0.458 states/eV/atom
* volume: 75 Å³ per cell
* formation energy (no corrections): 0.08 eV/atom
* polymorph energy (0 for the lowest one): 0.486 eV per atom
* magnetization: 0.0 Bohr magnetons per cell

a = 4.7277 Å, b = 4.7277 Å, c = 4.7277 Å
α = 60.00°, β = 60.00°, γ = 60.00°
Atoms (fractional coordinates):
F: 0.0000 0.0000 0.0000
Si: 0.7500 0.7500 0.7500
Si: 0.2500 0.2500 0.2500
Pb: 0.5000 0.5000 0.5000

=====

Entry 12:
DFT (PBE-GGA) results for an optimized crystal structure of K5Rb4O6.

Summary:
* N(E_F): 1.724 states/eV/atom
* volume: 761 Å³ per cell
* formation energy (no corrections): -0.88 eV/atom
* magnetization: 6.0 Bohr magnetons per cell

a = 4.0343 Å, b = 10.5195 Å, c = 18.2636 Å
α = 90.00°, β = 90.00°, γ = 101.06°
Last column: magnetic moment on the atom in μB.
Atoms (fractional coordinates):
Rb: 0.1860 0.3719 0.9510  0.01
Rb: 0.9972 0.9945 0.3469  0.01
Rb: 0.8190 0.6379 0.7827  0.01
Rb: 0.8140 0.6281 0.4510  0.01
Rb: 0.1810 0.3621 0.2827  0.01
Rb: 0.0028 0.0055 0.8469  0.01
Rb: 0.0276 0.0551 0.0293  0.00
Rb: 0.9724 0.9449 0.5293  0.00
K: 0.8653 0.7305 0.1168  0.00
K: 0.5548 0.1096 0.1811  0.00
K: 0.6380 0.2759 0.4614  0.00
K: 0.6474 0.2949 0.7783  0.00
K: 0.7084 0.4168 0.1165  0.00
K: 0.2916 0.5832 0.6165  0.00
K: 0.3526 0.7051 0.2783  0.00
K: 0.3620 0.7241 0.9614  0.00
K: 0.1347 0.2695 0.6168  0.00
K: 0.4452 0.8904 0.6811  0.00
O: 0.8737 0.7474 0.6287  0.34
O: 0.5858 0.1716 0.3254  0.43
O: 0.2155 0.4309 0.7399  0.36
O: 0.7825 0.5650 0.9924  0.39
O: 0.4440 0.8880 0.0974  0.35
O: 0.2175 0.4350 0.4924  0.39
O: 0.4145 0.8289 0.4079  0.47
O: 0.5855 0.1711 0.9079  0.47
O: 0.5560 0.1120 0.5974  0.35
O: 0.7845 0.5691 0.2399  0.36
O: 0.4142 0.8284 0.8254  0.43
O: 0.1263 0.2526 0.1287  0.34

=====

Entry 13:
DFT (PBE-GGA) results for an optimized crystal structure of Ac4Tm4Pb7.

Summary:
* N(E_F): 0.745 states/eV/atom
* volume: 996 Å³ per cell
* magnetization: 0.0 Bohr magnetons per cell
* energy of formation from the pure elements: -0.486 eV/atom

a = 7.0823 Å, b = 12.3785 Å, c = 12.3785 Å
α = 85.31°, β = 73.38°, γ = 73.38°
Atoms (fractional coordinates):
Tm: 0.6026 0.7949 0.5000
Tm: 0.1026 0.7949 0.5000
Tm: 0.1026 0.5000 0.7949
Tm: 0.3974 0.2051 0.5000
Tm: 0.8974 0.2051 0.5000
Tm: 0.6026 0.5000 0.7949
Tm: 0.8974 0.5000 0.2051
Tm: 0.3974 0.5000 0.2051
Pb: 0.0000 0.7169 0.2831
Pb: 0.2957 0.0000 0.4086
Pb: 0.2831 0.7169 0.7169
Pb: 0.7043 0.0000 0.5914
Pb: 0.2574 0.0000 0.0000
Pb: 0.5000 0.5926 0.4074
Pb: 0.7169 0.2831 0.2831
Pb: 0.0000 0.2831 0.7169
Pb: 0.0926 0.4074 0.4074
Pb: 0.5000 0.4074 0.5926
Pb: 0.9074 0.5926 0.5926
Pb: 0.7426 0.0000 0.0000
Pb: 0.2957 0.4086 0.0000
Pb: 0.7043 0.5914 0.0000
Ac: 0.5000 0.1934 0.8066
Ac: 0.6934 0.8066 0.8066
Ac: 0.1342 0.0000 0.7317
Ac: 0.8658 0.2683 0.0000
Ac: 0.8658 0.0000 0.2683
Ac: 0.5000 0.8066 0.1934
Ac: 0.1342 0.7317 0.0000
Ac: 0.3066 0.1934 0.1934

=====

Entry 14:
DFT (PBE-GGA) results for an optimized crystal structure of Ho5Cd4Pb.

Summary:
* N(E_F): 0.864 states/eV/atom
* volume: 263 Å³ per cell
* magnetization: 0.0 Bohr magnetons per cell
* energy of formation from the pure elements: -0.337 eV/atom

a = 3.7475 Å, b = 3.7475 Å, c = 18.7201 Å
α = 90.00°, β = 90.00°, γ = 90.00°
Atoms (fractional coordinates):
Cd: 0.0000 0.0000 0.5996
Cd: 0.0000 0.0000 0.2071
Cd: 0.0000 0.0000 0.7929
Cd: 0.0000 0.0000 0.4004
Ho: 0.5000 0.5000 0.5000
Ho: 0.5000 0.5000 0.1068
Ho: 0.5000 0.5000 0.6972
Ho: 0.5000 0.5000 0.3028
Ho: 0.5000 0.5000 0.8932
Pb: 0.0000 0.0000 0.0000

=====

Entry 15:
DFT (PBE-GGA) results for an optimized crystal structure of Nb2CrCoGe.

Summary:
* N(E_F): 1.470 states/eV/atom
* volume: 92 Å³ per cell
* magnetization: 0.0 Bohr magnetons per cell
* energy of formation from the pure elements: 1.044 eV/atom

a = 4.5364 Å, b = 4.4488 Å, c = 4.5364 Å
α = 90.00°, β = 90.00°, γ = 90.00°
Atoms (fractional coordinates):
Ge: 0.0000 0.5000 0.0000
Co: 0.5000 0.5000 0.5000
Cr: 0.0000 0.0000 0.0000
Nb: 0.0000 0.0000 0.5000
Nb: 0.5000 0.0000 0.0000

=====

Entry 16:
DFT (PBE-GGA) results for an optimized crystal structure of PrY10Tm4.

Summary:
* N(E_F): 1.890 states/eV/atom
* volume: 518 Å³ per cell
* magnetization: 0.0 Bohr magnetons per cell
* energy of formation from the pure elements: 0.505 eV/atom

a = 10.6550 Å, b = 8.7749 Å, c = 8.7750 Å
α = 68.37°, β = 52.62°, γ = 52.62°
Atoms (fractional coordinates):
Tm: 0.5508 0.6711 0.2273
Tm: 0.7781 0.7727 0.6711
Tm: 0.2219 0.2273 0.3289
Tm: 0.4492 0.3289 0.7727
Y: 0.2500 0.5000 0.5000
Y: 0.0460 0.3417 0.9066
Y: 0.2943 0.6583 0.0934
Y: 0.7500 0.5000 0.5000
Y: 0.7057 0.3417 0.9066
Y: 0.9526 0.0934 0.3417
Y: 0.6123 0.0934 0.3417
Y: 0.9540 0.6583 0.0934
Y: 0.0474 0.9066 0.6583
Y: 0.3877 0.9066 0.6583
Pr: 0.0000 0.0000 0.0000

=====

Entry 17:
DFT (PBE-GGA) results for an optimized crystal structure of Mg3Mn.

Summary:
* N(E_F): 0.672 states/eV/atom
* volume: 80 Å³ per cell
* magnetization: 3.6 Bohr magnetons per cell
* energy of formation from the pure elements: 0.198 eV/atom

a = 5.8004 Å, b = 5.8004 Å, c = 5.8004 Å
α = 149.28°, β = 125.65°, γ = 63.74°
Last column: magnetic moment on the atom in μB.
Atoms (fractional coordinates):
Mg: 0.4952 0.4906 0.0046  -0.02
Mg: 0.9080 0.2500 0.6580  -0.03
Mg: 0.0140 0.0094 0.0046  -0.02
Mn: 0.4162 0.7500 0.6662  3.65

=====

Entry 18:
DFT (PBE-GGA) results for an optimized crystal structure of CaGdMgZn.

Summary:
* N(E_F): 0.870 states/eV/atom
* volume: 106 Å³ per cell
* magnetization: 7.3 Bohr magnetons per cell
* energy of formation from the pure elements: -0.148 eV/atom

a = 5.3049 Å, b = 5.3049 Å, c = 5.3049 Å
α = 60.00°, β = 60.00°, γ = 60.00°
Last column: magnetic moment on the atom in μB.
Atoms (fractional coordinates):
Zn: 0.5000 0.5000 0.5000  0.00
Mg: 0.0000 0.0000 0.0000  0.00
Ca: 0.2500 0.2500 0.2500  0.00
Gd: 0.7500 0.7500 0.7500  7.08

=====

Entry 19:
DFT (PBE-GGA) results for an optimized crystal structure of CsPbSO4.

Summary:
* N(E_F): 0.154 states/eV/atom
* volume: 312 Å³ per cell
* formation energy (no corrections): -1.45 eV/atom
* magnetization: 0.0 Bohr magnetons per cell

a = 4.9746 Å, b = 6.2673 Å, c = 11.4853 Å
α = 90.00°, β = 119.47°, γ = 90.00°
Atoms (fractional coordinates):
O: 0.2710 0.7500 0.3873
O: 0.0049 0.5545 0.1734
O: 0.7290 0.2500 0.6127
O: 0.4841 0.7500 0.2386
O: 0.9951 0.0545 0.8266
O: 0.9951 0.4455 0.8266
O: 0.5159 0.2500 0.7614
O: 0.0049 0.9455 0.1734
Pb: 0.0837 0.2500 0.5246
Pb: 0.9163 0.7500 0.4754
Cs: 0.5536 0.7500 0.8805
Cs: 0.4464 0.2500 0.1195
S: 0.8200 0.2500 0.7609
S: 0.1800 0.7500 0.2391

=====

Entry 20:
DFT (PBE-GGA) results for an optimized crystal structure of CaZn6Ag6.

Summary:
* N(E_F): 0.277 states/eV/atom
* volume: 226 Å³ per cell
* magnetization: 0.0 Bohr magnetons per cell
* energy of formation from the pure elements: -0.148 eV/atom

a = 5.2323 Å, b = 7.0730 Å, c = 7.0730 Å
α = 82.59°, β = 68.29°, γ = 68.29°
Atoms (fractional coordinates):
Zn: 0.5000 0.7720 0.2280
Zn: 0.0000 0.5000 0.0000
Zn: 0.5000 0.2280 0.7720
Zn: 0.5000 0.5000 0.0000
Zn: 0.5000 0.0000 0.5000
Zn: 0.0000 0.0000 0.5000
Ag: 0.3022 0.1978 0.1978
Ag: 0.6978 0.8022 0.8022
Ag: 0.3475 0.6525 0.6525
Ag: 0.6525 0.3475 0.3475
Ag: 0.0000 0.6529 0.3471
Ag: 0.0000 0.3471 0.6529
Ca: 0.0000 0.0000 0.0000

=====

Entry 21:
DFT (PBE-GGA) results for an optimized crystal structure of LiFeCuI5.

Summary:
* N(E_F): 0.546 states/eV/atom
* volume: 663 Å³ per cell
* formation energy (no corrections): -0.34 eV/atom
* magnetization: 9.0 Bohr magnetons per cell

a = 8.5459 Å, b = 8.5459 Å, c = 10.0230 Å
α = 107.18°, β = 107.18°, γ = 78.44°
Last column: magnetic moment on the atom in μB.
Atoms (fractional coordinates):
I: 0.3905 0.3244 0.0625  0.13
I: 0.6095 0.6756 0.9375  0.13
I: 0.1103 0.8897 0.2500  0.03
I: 0.6979 0.0827 0.3588  0.12
I: 0.3021 0.9173 0.6412  0.12
I: 0.0827 0.6979 0.8588  0.12
I: 0.6756 0.6095 0.4375  0.13
I: 0.3244 0.3905 0.5625  0.13
I: 0.9173 0.3021 0.1412  0.12
I: 0.8897 0.1103 0.7500  0.03
Cu: 0.0000 0.0000 0.5000  0.01
Cu: 0.0000 0.0000 0.0000  0.01
Fe: 0.6726 0.3274 0.2500  3.42
Fe: 0.3274 0.6726 0.7500  3.42
Li: 0.3656 0.6344 0.2500  0.00
Li: 0.6344 0.3656 0.7500  0.00

=====

Entry 22:
DFT (PBE-GGA) results for an optimized crystal structure of YEr4Bi2.

Summary:
* N(E_F): 0.913 states/eV/atom
* volume: 235 Å³ per cell
* magnetization: 0.0 Bohr magnetons per cell
* energy of formation from the pure elements: 0.384 eV/atom

a = 5.3213 Å, b = 5.3213 Å, c = 9.1242 Å
α = 106.95°, β = 106.95°, γ = 90.00°
Atoms (fractional coordinates):
Er: 0.5000 0.0000 0.0000
Er: 0.0000 0.5000 0.0000
Er: 0.8185 0.8185 0.6370
Er: 0.1815 0.1815 0.3630
Bi: 0.6344 0.6344 0.2689
Bi: 0.3656 0.3656 0.7311
Y: 0.0000 0.0000 0.0000

=====

Entry 23:
DFT (PBE-GGA) results for an optimized crystal structure of YZnAgHg.

Summary:
* N(E_F): 0.425 states/eV/atom
* volume: 83 Å³ per cell
* magnetization: 0.0 Bohr magnetons per cell
* energy of formation from the pure elements: -0.298 eV/atom

a = 4.8978 Å, b = 4.8978 Å, c = 4.8978 Å
α = 60.00°, β = 60.00°, γ = 60.00°
Atoms (fractional coordinates):
Hg: 0.0000 0.0000 0.0000
Ag: 0.7500 0.7500 0.7500
Y: 0.2500 0.2500 0.2500
Zn: 0.5000 0.5000 0.5000